# Cs2Ga4Au5

Cs2Ga4Au5 after structural relaxation (GGA-PBE, Alexandria).

Computed properties:
Its density is 8.3 Mg/m³. As for the raw total energy: -0.111 Ha/atom. The calculation puts the energy relative to the elements at -0.2773 eV per atom. The size of the total moment comes out at 0.0 μB/cell.

POSCAR file:
```
Cs2Ga4Au5
1.0
5.811 -3.768 0.000
5.811 3.768 0.000
-4.408 0.000 6.950
Cs Ga Au
2 4 5
Direct
0.068 0.068 0.346 Cs
0.932 0.932 0.654 Cs
0.282 0.282 0.161 Ga
0.451 0.451 0.781 Ga
0.549 0.549 0.219 Ga
0.718 0.718 0.839 Ga
0.134 0.522 0.913 Au
0.478 0.866 0.087 Au
0.500 0.500 0.500 Au
0.522 0.134 0.913 Au
0.866 0.478 0.087 Au
```